An optimized crystal structure of GeRu2O, computed with PBE.

* space group: No. 122
* total energy: -0.25329 hartree per atom
* offset from the most stable computed form: 0.000 eV per atom
* formation energy from raw total energies: 139 meV per atom
* V: 16.55 Å³ per atom
* N(E_F): 2.452 states/eV/cell
* total magnetic moment: 0.0 μB/f.u.

extended XYZ file:
```
8
Lattice="-4.801 2.194 -0.323 -2.129 -4.345 2.133 -2.910 0.775 5.229" Properties=species:S:1:pos:R:3 pbc="T T T"
Ru -3.643 0.861 1.396
Ru -3.010 -2.087 2.576
Ru -4.937 -0.544 4.757
Ru -8.090 -0.983 5.349
Ge 0.000 0.000 0.000
Ge -5.588 0.946 2.906
O -3.465 -1.076 0.905
O -4.252 -2.323 4.133
```